(1)
The following is a PBE calculation of Nd3CoSb after structural relaxation, from the Alexandria database.

Unit cell a=5.250 b=5.250 c=5.250 alpha=90.00 beta=90.00 gamma=90.00
Sites, in units of the cell vectors:
Nd 0.000 0.500 0.000
Nd 0.000 0.000 0.500
Sb 0.500 0.500 0.500
Co 0.000 0.000 0.000
Nd 0.500 0.000 0.000

Summary:
ΔE_f (raw), meV per atom: -362
ΔE to the lowest computed polymorph, eV/f.u.: 0.48
SG: Pm-3m (221)

***

(2)
The following is a PBE calculation of Pa2GaGe2 after structural relaxation, from the Alexandria database.

Unit cell a=4.045 b=5.688 c=5.688 alpha=65.01 beta=69.17 gamma=69.17
Each line ends with the local moment (μB).
Sites, in units of the cell vectors:
Ge 0.500 0.707 0.293  0.00
Pa 0.780 0.720 0.720  0.23
Ga 0.000 0.000 0.000  0.00
Ge 0.500 0.293 0.707  0.00
Pa 0.220 0.280 0.280  0.23

Summary:
ΔE to the lowest computed polymorph, eV/f.u.: 0.05
SG: Immm (71)

***

(3)
The following is a PBE calculation of TbDyY3 after structural relaxation, from the Alexandria database.

Unit cell a=9.638 b=8.773 c=8.773 alpha=117.56 beta=94.41 gamma=94.41
Sites, in units of the cell vectors:
Y 0.316 0.429 0.982
Y 0.881 0.505 0.293
Tb 0.750 0.977 0.023
Y 0.056 0.752 0.122
Y 0.444 0.878 0.248
Y 0.619 0.707 0.495
Dy 0.046 0.195 0.297
Tb 0.750 0.408 0.592
Dy 0.454 0.703 0.805
Y 0.684 0.571 0.018
Y 0.816 0.982 0.429
Dy 0.546 0.297 0.195
Y 0.944 0.248 0.878
Tb 0.250 0.023 0.977
Tb 0.250 0.592 0.408
Y 0.119 0.495 0.707
Y 0.556 0.122 0.752
Dy 0.954 0.805 0.703
Y 0.381 0.293 0.505
Y 0.184 0.018 0.571

Summary:
ΔE to the lowest computed polymorph, eV/f.u.: 0.58
SG: C2/c (15)

***

(4)
The following is a PBE calculation of PmNdH2 after structural relaxation, from the Alexandria database.

Unit cell a=3.625 b=3.625 c=6.439 alpha=73.65 beta=73.65 gamma=60.00
Sites, in units of the cell vectors:
Nd 0.492 0.492 0.525
Pm 0.670 0.670 0.990
H 0.079 0.079 0.763
H 0.259 0.259 0.222

Summary:
ΔE to the lowest computed polymorph, eV/f.u.: 0.40
SG: R3m (160)

***

(5)
The following is a PBE calculation of InOsRh2 after structural relaxation, from the Alexandria database.

Unit cell a=5.540 b=5.540 c=5.540 alpha=150.42 beta=130.12 gamma=59.07
Each line ends with the local moment (μB).
Sites, in units of the cell vectors:
Rh 0.991 0.991 0.000  0.04
Os 0.766 0.266 0.500  0.10
Rh 0.240 0.740 0.500  0.03
In 0.503 0.503 0.000  0.00

Summary:
VASP energy, eV/atom: -6.947
SG: Imm2 (44)

***

(6)
The following is a PBE calculation of GeB2TeCl after structural relaxation, from the Alexandria database.

Unit cell a=4.447 b=4.681 c=4.447 alpha=90.00 beta=90.00 gamma=90.00
Sites, in units of the cell vectors:
B 0.500 0.000 0.000
Cl 0.000 0.500 0.000
Ge 0.000 0.000 0.000
B 0.000 0.000 0.500
Te 0.500 0.500 0.500

Summary:
ΔE_f (raw), meV per atom: 1288
SG: P4/mmm (123)

***

(7)
The following is a PBE calculation of CeNdBr after structural relaxation, from the Alexandria database.

Unit cell a=7.767 b=3.729 c=3.729 alpha=120.00 beta=90.00 gamma=90.00
Each line ends with the local moment (μB).
Sites, in units of the cell vectors:
Nd 0.690 0.667 0.333  0.11
Ce 0.313 0.333 0.667  1.11
Br 0.997 0.000 0.000  0.01

Summary:
ΔE_f (raw), meV per atom: -633
SG: P3m1 (156)

***

(8)
The following is a PBE calculation of ScSb2Ir after structural relaxation, from the Alexandria database.

Unit cell a=3.161 b=3.161 c=8.967 alpha=90.00 beta=90.00 gamma=90.00
Sites, in units of the cell vectors:
Ir 0.500 0.500 0.737
Sb 0.500 0.500 0.287
Sb 0.000 0.000 0.932
Sc 0.000 0.000 0.544

Summary:
ΔE_f (raw), meV per atom: -424
ΔE to the lowest computed polymorph, eV/f.u.: 0.00
SG: P4mm (99)

***

(9)
The following is a PBE calculation of LaYP4 after structural relaxation, from the Alexandria database.

Unit cell a=5.437 b=5.437 c=5.437 alpha=60.00 beta=60.00 gamma=60.00
Sites, in units of the cell vectors:
P 0.379 0.863 0.379
P 0.379 0.379 0.863
Y 0.750 0.750 0.750
La 0.000 0.000 0.000
P 0.863 0.379 0.379
P 0.379 0.379 0.379

Summary:
VASP energy, eV/atom: -5.847
SG: F-43m (216)

***

(10)
The following is a PBE calculation of SrLaEr2Se4 after structural relaxation, from the Alexandria database.

Unit cell a=4.156 b=7.310 c=7.262 alpha=71.04 beta=90.00 gamma=90.00
Sites, in units of the cell vectors:
Se 0.000 0.772 0.742
La 0.500 0.500 0.000
Se 0.000 0.228 0.258
Er 0.000 0.000 0.000
Se 0.500 0.228 0.758
Se 0.500 0.772 0.242
Er 0.500 0.000 0.500
Sr 0.000 0.500 0.500

Summary:
ΔE_f (raw), meV per atom: -1846
SG: P2/m (10)

***

(11)
The following is a PBE calculation of NdY2Br after structural relaxation, from the Alexandria database.

Unit cell a=3.522 b=3.522 c=11.672 alpha=81.32 beta=81.32 gamma=60.00
Sites, in units of the cell vectors:
Y 0.099 0.099 0.704
Y 0.901 0.901 0.296
Nd 0.000 0.000 0.000
Br 0.500 0.500 0.500

Summary:
ΔE_f (raw), meV per atom: -256
SG: R-3m (166)

***

(12)
The following is a PBE calculation of PmPd6 after structural relaxation, from the Alexandria database.

Unit cell a=5.353 b=8.822 c=10.600 alpha=90.00 beta=90.00 gamma=90.00
Sites, in units of the cell vectors:
Pd 0.994 0.060 0.701
Pd 0.250 0.392 0.980
Pd 0.250 0.314 0.729
Pd 0.250 0.164 0.163
Pd 0.750 0.836 0.837
Pd 0.750 0.336 0.663
Pd 0.506 0.060 0.701
Pm 0.250 0.753 0.059
Pd 0.250 0.058 0.928
Pm 0.750 0.747 0.559
Pd 0.750 0.942 0.072
Pd 0.994 0.560 0.799
Pd 0.250 0.892 0.520
Pd 0.750 0.108 0.480
Pm 0.750 0.247 0.941
Pd 0.250 0.558 0.572
Pd 0.750 0.186 0.229
Pd 0.750 0.686 0.271
Pd 0.006 0.940 0.299
Pd 0.750 0.608 0.020
Pd 0.494 0.440 0.201
Pd 0.250 0.814 0.771
Pd 0.250 0.664 0.337
Pd 0.006 0.440 0.201
Pm 0.250 0.253 0.441
Pd 0.494 0.940 0.299
Pd 0.750 0.442 0.428
Pd 0.506 0.560 0.799

Summary:
ΔE to the lowest computed polymorph, eV/f.u.: 0.00
SG: Pnma (62)